1.
! GGA-PBE K2BaTlSe4, relaxed; values from VASP
! Fermi-level density of states (states/eV/cell): 21.06
! Raw formation energy (meV/atom): -888
! Crystal system: monoclinic
! SG: C2/c (15)
&SYSTEM
  ibrav = 0, nat = 16, ntyp = 4
/
ATOMIC_SPECIES
Se 78.96 Se.upf
K 39.10 K.upf
Ba 137.33 Ba.upf
Tl 204.38 Tl.upf
CELL_PARAMETERS angstrom
9.197 -0.117 -0.511
-0.123 9.197 -0.511
-4.831 -4.834 7.044
ATOMIC_POSITIONS crystal
Se 0.247 0.741 0.493
Se 0.717 0.719 0.517
Se 0.241 0.747 0.993
K 0.500 0.500 0.000
Se 0.219 0.217 0.017
K 0.500 0.000 0.000
Ba 0.000 0.500 0.500
Ba 0.000 0.500 0.000
Se 0.283 0.281 0.483
Se 0.759 0.253 0.007
K 0.500 0.000 0.500
Tl 0.500 0.500 0.500
Tl 0.000 0.000 0.000
Se 0.753 0.259 0.507
K 0.000 0.000 0.500
Se 0.781 0.783 0.983

---

2.
! GGA-PBE K3Ba2USe6, relaxed; values from VASP
! Raw formation energy (meV/atom): -1540
! Crystal system: monoclinic
! SG: C2/m (12)
&SYSTEM
  ibrav = 0, nat = 12, ntyp = 4
/
ATOMIC_SPECIES
Ba 137.33 Ba.upf
Se 78.96 Se.upf
K 39.10 K.upf
U 238.03 U.upf
CELL_PARAMETERS angstrom
-4.617 4.762 4.385
-3.016 -6.646 -3.155
4.555 -3.227 5.851
ATOMIC_POSITIONS crystal
Ba 0.667 0.333 0.000
Se 0.784 0.784 0.210
K 0.168 0.832 0.500
Se 0.928 0.640 0.786
U 0.000 0.000 0.000
K 0.500 0.500 0.500
Se 0.640 0.928 0.786
Se 0.216 0.216 0.790
K 0.832 0.168 0.500
Ba 0.333 0.667 0.000
Se 0.072 0.360 0.214
Se 0.360 0.072 0.214

---

Magnetic moment / Bohr magnetons per cell: 1.4 1.0